The following is a SCAN calculation of a crystal of YCdTc relaxed with PBEsol, from Alexandria.

Results
Energy relative to the elements   0.55 eV/atom
Volume   23.07 A^3/atom

```
data_YCdTc
_cell_length_a 6.518
_cell_length_b 6.518
_cell_length_c 6.518
_cell_angle_alpha 90.00
_cell_angle_beta 90.00
_cell_angle_gamma 90.00
_space_group_name_H-M_alt 'F -4 3 m'
_space_group_IT_number 216
_space_group_name_Hall 'F -4 2 3'
loop_
_atom_site_label
_atom_site_fract_x
_atom_site_fract_y
_atom_site_fract_z
_atom_site_occupancy
Y1 0.000 0.000 0.000 1
Cd1 0.000 0.000 0.500 1
Tc1 0.250 0.250 0.250 1
```



The following is a SCAN calculation of a crystal of SrLaZr2Zn relaxed with PBEsol, from Alexandria.

Results
Energy relative to the elements   0.45 eV/atom
Volume   30.13 A^3/atom

```
data_SrLaZr2Zn
_cell_length_a 5.175
_cell_length_b 5.175
_cell_length_c 5.625
_cell_angle_alpha 90.00
_cell_angle_beta 90.00
_cell_angle_gamma 90.00
_space_group_name_H-M_alt 'P 4/m m m'
_space_group_IT_number 123
_space_group_name_Hall '-P 4 2'
loop_
_atom_site_label
_atom_site_fract_x
_atom_site_fract_y
_atom_site_fract_z
_atom_site_occupancy
Sr1 0.000 0.000 0.000 1
La1 0.500 0.500 0.000 1
Zr1 0.000 0.500 0.500 1
Zn1 0.500 0.500 0.500 1
```



The following is a SCAN calculation of a crystal of YZr2Fe relaxed with PBEsol, from Alexandria.

Results
Energy relative to the elements   0.29 eV/atom
Volume   20.84 A^3/atom

```
data_YZr2Fe
_cell_length_a 3.262
_cell_length_b 4.181
_cell_length_c 6.274
_cell_angle_alpha 90.00
_cell_angle_beta 103.03
_cell_angle_gamma 90.00
_space_group_name_H-M_alt 'P 1 m 1'
_space_group_IT_number 6
_space_group_name_Hall 'P -2y'
loop_
_atom_site_label
_atom_site_fract_x
_atom_site_fract_y
_atom_site_fract_z
_atom_site_occupancy
Y1 0.000 0.000 0.000 1
Zr1 0.200 0.000 0.559 1
Zr2 0.636 0.500 0.333 1
Fe1 0.566 0.500 0.725 1
```



The following is a SCAN calculation of a crystal of CaCoSCl2 relaxed with PBEsol, from Alexandria.

Results
ΔE_f (raw)   -0.533 eV/atom
Volume   27.45 A^3/atom

```
data_CaCoSCl2
_cell_length_a 5.025
_cell_length_b 5.025
_cell_length_c 5.435
_cell_angle_alpha 90.00
_cell_angle_beta 90.00
_cell_angle_gamma 90.00
_space_group_name_H-M_alt 'P 4/m m m'
_space_group_IT_number 123
_space_group_name_Hall '-P 4 2'
loop_
_atom_site_label
_atom_site_fract_x
_atom_site_fract_y
_atom_site_fract_z
_atom_site_occupancy
Ca1 0.000 0.000 0.000 1
Co1 0.500 0.500 0.500 1
S1 0.000 0.000 0.500 1
Cl1 0.000 0.500 0.000 1
```



The following is a SCAN calculation of a crystal of NaSnAsCO7 relaxed with PBEsol, from Alexandria.

Results
ΔE_f (raw)   -1.565 eV/atom
Volume   14.69 A^3/atom

```
data_NaSnAsCO7
_cell_length_a 5.225
_cell_length_b 6.727
_cell_length_c 9.203
_cell_angle_alpha 90.00
_cell_angle_beta 92.51
_cell_angle_gamma 90.00
_space_group_name_H-M_alt 'P 1 21 1'
_space_group_IT_number 4
_space_group_name_Hall 'P 2yb'
loop_
_atom_site_label
_atom_site_fract_x
_atom_site_fract_y
_atom_site_fract_z
_atom_site_occupancy
Na1 0.130 0.000 0.133 1
Sn1 0.244 0.789 0.664 1
As1 0.285 0.286 0.576 1
C1 0.391 0.781 0.930 1
O1 0.130 0.283 0.409 1
O2 0.143 0.788 0.884 1
O3 0.199 0.483 0.679 1
O4 0.225 0.090 0.684 1
O5 0.395 0.797 0.463 1
O6 0.453 0.259 0.180 1
O7 0.463 0.798 0.059 1
```



The following is a SCAN calculation of a crystal of NiIrCl relaxed with PBEsol, from Alexandria.

Results
ΔE_f (raw)   0.342 eV/atom
Volume   13.59 A^3/atom

```
data_NiIrCl
_cell_length_a 2.8757
_cell_length_b 2.8757
_cell_length_c 5.6945
_cell_angle_alpha 90.00
_cell_angle_beta 90.00
_cell_angle_gamma 120.00
_space_group_name_H-M_alt 'P 3 m 1'
_space_group_IT_number 156
_space_group_name_Hall 'P 3 -2"'
loop_
_atom_site_label
_atom_site_fract_x
_atom_site_fract_y
_atom_site_fract_z
_atom_site_occupancy
Ni1 0.0000 0.0000 0.0000 1
Ir1 0.6667 0.3333 0.3259 1
Cl1 0.3333 0.6667 0.7210 1
```



The following is a SCAN calculation of a crystal of CaBi2Pd relaxed with PBEsol, from Alexandria.

Results
Energy relative to the elements   -0.32 eV/atom
Volume   27.42 A^3/atom

```
data_CaBi2Pd
_cell_length_a 4.674
_cell_length_b 4.674
_cell_length_c 20.083
_cell_angle_alpha 90.00
_cell_angle_beta 90.00
_cell_angle_gamma 90.00
_space_group_name_H-M_alt 'I -4 2 d'
_space_group_IT_number 122
_space_group_name_Hall 'I -4 2bw'
loop_
_atom_site_label
_atom_site_fract_x
_atom_site_fract_y
_atom_site_fract_z
_atom_site_occupancy
Ca1 0.000 0.000 0.000 1
Bi1 0.210 0.250 0.625 1
Pd1 0.000 0.000 0.500 1
```



The following is a SCAN calculation of a crystal of Cd3Au2 relaxed with PBEsol, from Alexandria.

Results
Energy relative to the elements   -0.17 eV/atom
Volume   18.64 A^3/atom

```
data_Cd3Au2
_cell_length_a 3.118
_cell_length_b 3.118
_cell_length_c 19.170
_cell_angle_alpha 90.00
_cell_angle_beta 90.00
_cell_angle_gamma 90.00
_space_group_name_H-M_alt 'I 4/m m m'
_space_group_IT_number 139
_space_group_name_Hall '-I 4 2'
loop_
_atom_site_label
_atom_site_fract_x
_atom_site_fract_y
_atom_site_fract_z
_atom_site_occupancy
Cd1 0.000 0.000 0.000 1
Cd2 0.000 0.000 0.195 1
Au1 0.000 0.000 0.402 1
```